A) # CaTbCe PBE optimized geometry
data_CaTbCe
_symmetry_space_group_name_H-M 'P 1'
_symmetry_Int_Tables_number 1
_cell_length_a 3.577
_cell_length_b 3.577
_cell_length_c 8.384
_cell_angle_alpha 102.32
_cell_angle_beta 102.32
_cell_angle_gamma 90.00
loop_
_symmetry_equiv_pos_as_xyz
'x,y,z'
loop_
_atom_site_label
_atom_site_fract_x
_atom_site_fract_y
_atom_site_fract_z
_atom_site_occupancy
Ca1 0.000 0.000 0.000 1
Tb1 0.676 0.676 0.352 1
Ce1 0.324 0.324 0.648 1
# V ... 34.083 Å³/atom
# Space-group type ... I4mm
# M_tot ... 1.0 Bohr magnetons per cell

---

B) # CaTbCe PBE optimized geometry
data_CaTbCe
_symmetry_space_group_name_H-M 'P 1'
_symmetry_Int_Tables_number 1
_cell_length_a 3.598
_cell_length_b 3.598
_cell_length_c 9.071
_cell_angle_alpha 90.00
_cell_angle_beta 90.00
_cell_angle_gamma 120.00
loop_
_symmetry_equiv_pos_as_xyz
'x,y,z'
loop_
_atom_site_label
_atom_site_fract_x
_atom_site_fract_y
_atom_site_fract_z
_atom_site_occupancy
Ce1 0.667 0.333 0.347 1
Ca1 0.000 0.000 0.000 1
Tb1 0.333 0.667 0.653 1
# V ... 33.902 Å³/atom
# Space-group type ... P3m1
# M_tot ... 1.1 Bohr magnetons per cell

---

Of them, the most stable is B) and the least stable is A).

---

A) # CaCeTl PBE optimized geometry
data_CaCeTl
_symmetry_space_group_name_H-M 'P 1'
_symmetry_Int_Tables_number 1
_cell_length_a 3.589
_cell_length_b 3.589
_cell_length_c 7.871
_cell_angle_alpha 103.18
_cell_angle_beta 103.18
_cell_angle_gamma 90.00
loop_
_symmetry_equiv_pos_as_xyz
'x,y,z'
loop_
_atom_site_label
_atom_site_fract_x
_atom_site_fract_y
_atom_site_fract_z
_atom_site_occupancy
Ce1 0.266 0.266 0.531 1
Ca1 0.968 0.968 0.936 1
Tl1 0.616 0.616 0.232 1
# V ... 31.987 Å³/atom
# Space-group type ... I4mm
# M_tot ... 1.7 Bohr magnetons per cell

---

B) # CaCeTl PBE optimized geometry
data_CaCeTl
_symmetry_space_group_name_H-M 'P 1'
_symmetry_Int_Tables_number 1
_cell_length_a 3.814
_cell_length_b 3.967
_cell_length_c 12.111
_cell_angle_alpha 90.00
_cell_angle_beta 92.51
_cell_angle_gamma 90.00
loop_
_symmetry_equiv_pos_as_xyz
'x,y,z'
loop_
_atom_site_label
_atom_site_fract_x
_atom_site_fract_y
_atom_site_fract_z
_atom_site_occupancy
Tl1 0.702 0.750 0.722 1
Tl2 0.298 0.250 0.278 1
Ce1 0.171 0.250 0.558 1
Ce2 0.829 0.750 0.442 1
Ca1 0.237 0.250 0.879 1
Ca2 0.763 0.750 0.121 1
# V ... 30.515 Å³/atom
# Space-group type ... P2_1/m
# M_tot ... 0.3 Bohr magnetons per cell

---

C) # CaCeTl PBE optimized geometry
data_CaCeTl
_symmetry_space_group_name_H-M 'P 1'
_symmetry_Int_Tables_number 1
_cell_length_a 3.824
_cell_length_b 3.824
_cell_length_c 13.280
_cell_angle_alpha 98.28
_cell_angle_beta 98.28
_cell_angle_gamma 90.00
loop_
_symmetry_equiv_pos_as_xyz
'x,y,z'
loop_
_atom_site_label
_atom_site_fract_x
_atom_site_fract_y
_atom_site_fract_z
_atom_site_occupancy
Tl1 0.147 0.147 0.293 1
Tl2 0.853 0.853 0.707 1
Ce1 0.275 0.275 0.551 1
Ce2 0.725 0.725 0.449 1
Ca1 0.572 0.572 0.145 1
Ca2 0.428 0.428 0.855 1
# V ... 31.693 Å³/atom
# Space-group type ... I4/mmm
# M_tot ... 0.5 Bohr magnetons per cell

---

Of them, the most stable is B) and the least stable is A).

---

A) # CaCeTl4 PBE optimized geometry
data_CaCeTl4
_symmetry_space_group_name_H-M 'P 1'
_symmetry_Int_Tables_number 1
_cell_length_a 6.341
_cell_length_b 6.341
_cell_length_c 6.341
_cell_angle_alpha 60.00
_cell_angle_beta 60.00
_cell_angle_gamma 60.00
loop_
_symmetry_equiv_pos_as_xyz
'x,y,z'
loop_
_atom_site_label
_atom_site_fract_x
_atom_site_fract_y
_atom_site_fract_z
_atom_site_occupancy
Ce1 0.000 0.000 0.000 1
Tl1 0.625 0.625 0.124 1
Tl2 0.625 0.124 0.625 1
Tl3 0.625 0.625 0.625 1
Tl4 0.124 0.625 0.625 1
Ca1 0.250 0.250 0.250 1
# V ... 30.047 Å³/atom
# Space-group type ... F-43m
# M_tot ... 1.8 Bohr magnetons per cell

---

B) # CaCeTl4 PBE optimized geometry
data_CaCeTl4
_symmetry_space_group_name_H-M 'P 1'
_symmetry_Int_Tables_number 1
_cell_length_a 3.801
_cell_length_b 5.127
_cell_length_c 9.063
_cell_angle_alpha 90.00
_cell_angle_beta 91.15
_cell_angle_gamma 90.00
loop_
_symmetry_equiv_pos_as_xyz
'x,y,z'
loop_
_atom_site_label
_atom_site_fract_x
_atom_site_fract_y
_atom_site_fract_z
_atom_site_occupancy
Ca1 0.249 0.997 0.495 1
Tl1 0.867 0.997 0.162 1
Tl2 0.878 0.497 0.667 1
Tl3 0.640 0.497 0.334 1
Tl4 0.619 0.997 0.830 1
Ce1 0.254 0.497 0.001 1
# V ... 29.431 Å³/atom
# Space-group type ... Pm
# M_tot ... 1.3 Bohr magnetons per cell

---

Of them, the most stable is B) and the least stable is A).

---

A) # Ca2CeTl PBE optimized geometry
data_Ca2CeTl
_symmetry_space_group_name_H-M 'P 1'
_symmetry_Int_Tables_number 1
_cell_length_a 5.254
_cell_length_b 4.960
_cell_length_c 4.960
_cell_angle_alpha 90.00
_cell_angle_beta 90.00
_cell_angle_gamma 90.00
loop_
_symmetry_equiv_pos_as_xyz
'x,y,z'
loop_
_atom_site_label
_atom_site_fract_x
_atom_site_fract_y
_atom_site_fract_z
_atom_site_occupancy
Ca1 0.000 0.000 0.500 1
Ca2 0.000 0.500 0.000 1
Ce1 0.500 0.500 0.500 1
Tl1 0.500 0.000 0.000 1
# V ... 32.311 Å³/atom
# Space-group type ... P4/mmm
# M_tot ... 1.1 Bohr magnetons per cell

---

B) # Ca2CeTl PBE optimized geometry
data_Ca2CeTl
_symmetry_space_group_name_H-M 'P 1'
_symmetry_Int_Tables_number 1
_cell_length_a 3.625
_cell_length_b 3.625
_cell_length_c 12.871
_cell_angle_alpha 81.90
_cell_angle_beta 81.90
_cell_angle_gamma 60.00
loop_
_symmetry_equiv_pos_as_xyz
'x,y,z'
loop_
_atom_site_label
_atom_site_fract_x
_atom_site_fract_y
_atom_site_fract_z
_atom_site_occupancy
Ca1 0.914 0.914 0.258 1
Ca2 0.086 0.086 0.742 1
Ce1 0.500 0.500 0.500 1
Tl1 0.000 0.000 0.000 1
# V ... 36.126 Å³/atom
# Space-group type ... R-3m
# M_tot ... 1.5 Bohr magnetons per cell

---

C) # Ca2CeTl PBE optimized geometry
data_Ca2CeTl
_symmetry_space_group_name_H-M 'P 1'
_symmetry_Int_Tables_number 1
_cell_length_a 3.616
_cell_length_b 3.616
_cell_length_c 10.119
_cell_angle_alpha 90.00
_cell_angle_beta 90.00
_cell_angle_gamma 90.00
loop_
_symmetry_equiv_pos_as_xyz
'x,y,z'
loop_
_atom_site_label
_atom_site_fract_x
_atom_site_fract_y
_atom_site_fract_z
_atom_site_occupancy
Ca1 0.000 0.000 0.787 1
Ca2 0.000 0.000 0.213 1
Tl1 0.500 0.500 0.000 1
Ce1 0.500 0.500 0.500 1
# V ... 33.079 Å³/atom
# Space-group type ... P4/mmm
# M_tot ... 1.5 Bohr magnetons per cell

---

Of them, the most stable is A) and the least stable is B).